Entry 1:
Computed, not measured: a geometry-optimized SrCe2Br6 structure at the PBE-GGA level of DFT.

Computed properties:
ΔE_f (raw) = -15.55 eV/f.u.
Total energy = -4.3487 eV per atom
Total moment = 5.6 Bohr magnetons per cell

Cell lengths 9.7786, 9.7786, 7.0976 Å; angles 107.08, 107.08, 65.34 degrees
Closest atoms and distances in Å follow each position.
Element x y z (fractional)
Sr: 0.1884 0.8116 0.7500  8 Br 3.16-3.29
Sr: 0.8116 0.1884 0.2500  8 Br 3.16-3.29
Ce: 0.2518 0.2759 0.0533  7 Br 3.01-3.25
Ce: 0.2759 0.2518 0.5533  7 Br 3.01-3.25
Ce: 0.7241 0.7482 0.4467  7 Br 3.01-3.25
Ce: 0.7482 0.7241 0.9467  7 Br 3.01-3.25
Br: 0.0470 0.1632 0.6737  2 Ce 3.07-3.11, 2 Sr 3.21-3.27
Br: 0.0796 0.5540 0.8124  3 Ce 3.15-3.25, 1 Sr 3.29
Br: 0.1632 0.0470 0.1737  2 Ce 3.07-3.11, 2 Sr 3.21-3.27
Br: 0.3051 0.5072 0.4326  2 Ce 3.01-3.04, 1 Sr 3.16
Br: 0.4460 0.9204 0.6876  3 Ce 3.15-3.25, 1 Sr 3.29
Br: 0.4928 0.6949 0.0674  2 Ce 3.01-3.04, 1 Sr 3.16
Br: 0.5072 0.3051 0.9326  2 Ce 3.01-3.04, 1 Sr 3.16
Br: 0.5540 0.0796 0.3124  3 Ce 3.15-3.25, 1 Sr 3.29
Br: 0.6949 0.4928 0.5674  2 Ce 3.01-3.04, 1 Sr 3.16
Br: 0.8368 0.9530 0.8263  2 Ce 3.07-3.11, 2 Sr 3.21-3.27
Br: 0.9204 0.4460 0.1876  3 Ce 3.15-3.25, 1 Sr 3.29
Br: 0.9530 0.8368 0.3263  2 Ce 3.07-3.11, 2 Sr 3.21-3.27

Entry 2:
Computed, not measured: a geometry-optimized SrCeTl2Br8 structure at the PBE-GGA level of DFT.

Computed properties:
ΔE_f (raw) = -17.53 eV/f.u.
Total energy = -3.6055 eV per atom
Total moment = 0.1 Bohr magnetons per cell

Cell lengths 7.2650, 9.1698, 7.5184 Å; angles 90.00, 92.32, 90.00 degrees
Closest atoms and distances in Å follow each position.
Element x y z (fractional)
Sr: 0.0000 0.0000 0.0000  6 Br 3.01-3.16
Ce: 0.0000 0.5000 0.0000  6 Br 2.75-2.84
Tl: 0.5000 0.2458 0.5000  6 Br 3.14-3.50
Tl: 0.5000 0.7542 0.5000  6 Br 3.14-3.50
Br: 0.2017 0.5000 0.3179  1 Ce 2.75
Br: 0.2242 0.2726 0.8705  1 Ce 2.84, 1 Sr 3.16
Br: 0.2242 0.7274 0.8705  1 Ce 2.84, 1 Sr 3.16
Br: 0.2485 0.0000 0.3295  1 Sr 3.01, 2 Tl 3.14
Br: 0.7515 0.0000 0.6705  1 Sr 3.01, 2 Tl 3.14
Br: 0.7758 0.2726 0.1295  1 Ce 2.84, 1 Sr 3.16
Br: 0.7758 0.7274 0.1295  1 Ce 2.84, 1 Sr 3.16
Br: 0.7983 0.5000 0.6821  1 Ce 2.75

Entry 3:
Computed, not measured: a geometry-optimized SrCeTlBr6 structure at the PBE-GGA level of DFT.

Computed properties:
ΔE_f (raw) = -15.40 eV/f.u.
Total energy = -3.9355 eV per atom
Total moment = 2.0 Bohr magnetons per cell

Cell lengths 7.8320, 7.8320, 14.1201 Å; angles 90.00, 90.00, 120.00 degrees
Closest atoms and distances in Å follow each position.
Element x y z (fractional)
Sr: 0.3333 0.6667 0.2500  6 Br 3.07
Sr: 0.6667 0.3333 0.7500  6 Br 3.07
Ce: 0.3333 0.6667 0.7500  6 Br 2.93
Ce: 0.6667 0.3333 0.2500  6 Br 2.93
Tl: 0.0000 0.0000 0.0000  6 Br 3.41
Tl: 0.0000 0.0000 0.5000  6 Br 3.41
Br: 0.0136 0.3705 0.6324  1 Ce 2.93, 1 Sr 3.07
Br: 0.0136 0.6431 0.8676  1 Ce 2.93, 1 Sr 3.07
Br: 0.3569 0.3705 0.8676  1 Ce 2.93, 1 Sr 3.07
Br: 0.3569 0.9864 0.6324  1 Ce 2.93, 1 Sr 3.07
Br: 0.3705 0.0136 0.1324  1 Ce 2.93, 1 Sr 3.07
Br: 0.3705 0.3569 0.3676  1 Ce 2.93, 1 Sr 3.07
Br: 0.6295 0.6431 0.6324  1 Ce 2.93, 1 Sr 3.07
Br: 0.6295 0.9864 0.8676  1 Ce 2.93, 1 Sr 3.07
Br: 0.6431 0.0136 0.3676  1 Ce 2.93, 1 Sr 3.07
Br: 0.6431 0.6295 0.1324  1 Ce 2.93, 1 Sr 3.07
Br: 0.9864 0.3569 0.1324  1 Ce 2.93, 1 Sr 3.07
Br: 0.9864 0.6295 0.3676  1 Ce 2.93, 1 Sr 3.07

Entry 4:
Computed, not measured: a geometry-optimized TbCeBr4 structure at the PBE-GGA level of DFT.

Computed properties:
ΔE_f (raw) = -9.63 eV/f.u.
Total energy = -4.4809 eV per atom
Total moment = 1.8 Bohr magnetons per cell

Cell lengths 6.9566, 3.9439, 7.7577 Å; angles 90.00, 106.28, 90.00 degrees
Closest atoms and distances in Å follow each position.
Element x y z (fractional)
Tb: 0.0000 0.0000 0.0000  6 Br 2.89-2.90
Ce: 0.5000 0.5000 0.0000  6 Br 3.00-3.01
Br: 0.2328 0.5000 0.2438  2 Tb 2.89, 1 Ce 3.00
Br: 0.2379 0.0000 0.7472  1 Tb 2.90, 2 Ce 3.01
Br: 0.7621 0.0000 0.2528  1 Tb 2.90, 2 Ce 3.01
Br: 0.7672 0.5000 0.7562  2 Tb 2.89, 1 Ce 3.00

Entry 5:
Computed, not measured: a geometry-optimized Tb2CeBr6 structure at the PBE-GGA level of DFT.

Computed properties:
ΔE_f (raw) = -12.99 eV/f.u.
Total energy = -4.2464 eV per atom
Total moment = 2.1 Bohr magnetons per cell

Cell lengths 7.0533, 7.0533, 7.0533 Å; angles 68.34, 68.34, 68.34 degrees
Closest atoms and distances in Å follow each position.
Element x y z (fractional)
Tb: 0.0000 0.0000 0.0000  6 Br 2.85-3.03
Tb: 0.2619 0.2619 0.2619  6 Br 2.92-3.06
Ce: 0.4734 0.4734 0.4734  6 Br 3.03-3.08
Br: 0.0425 0.3853 0.6798  2 Tb 2.85-3.06, 1 Ce 3.03
Br: 0.1655 0.8825 0.5855  2 Tb 2.92-3.03, 1 Ce 3.08
Br: 0.3853 0.6798 0.0425  2 Tb 2.85-3.06, 1 Ce 3.03
Br: 0.5855 0.1655 0.8825  2 Tb 2.92-3.03, 1 Ce 3.08
Br: 0.6798 0.0425 0.3853  2 Tb 2.85-3.06, 1 Ce 3.03
Br: 0.8825 0.5855 0.1655  2 Tb 2.92-3.03, 1 Ce 3.08

Entry 6:
Computed, not measured: a geometry-optimized TbCeBr5 structure at the PBE-GGA level of DFT.

Computed properties:
ΔE_f (raw) = -12.44 eV/f.u.
Total energy = -4.4816 eV per atom
Total moment = 4.0 Bohr magnetons per cell

Cell lengths 8.3693, 4.0770, 13.7018 Å; angles 90.00, 92.92, 90.00 degrees
Closest atoms and distances in Å follow each position.
Element x y z (fractional)
Tb: 0.0813 0.2500 0.1536  7 Br 2.86-3.10
Tb: 0.9187 0.7500 0.8464  7 Br 2.86-3.10
Ce: 0.4088 0.7500 0.3462  7 Br 3.03-3.13
Ce: 0.5912 0.2500 0.6538  7 Br 3.03-3.13
Br: 0.1352 0.2500 0.7905  2 Tb 2.86
Br: 0.1454 0.2500 0.3664  1 Tb 2.94, 2 Ce 3.03
Br: 0.1789 0.7500 0.0159  3 Tb 2.92-3.10
Br: 0.3521 0.7500 0.5705  3 Ce 3.04-3.13
Br: 0.4325 0.2500 0.1831  1 Tb 2.95, 2 Ce 3.04
Br: 0.5675 0.7500 0.8169  1 Tb 2.95, 2 Ce 3.04
Br: 0.6479 0.2500 0.4295  3 Ce 3.04-3.13
Br: 0.8211 0.2500 0.9841  3 Tb 2.92-3.10
Br: 0.8546 0.7500 0.6336  1 Tb 2.94, 2 Ce 3.03
Br: 0.8648 0.7500 0.2095  2 Tb 2.86

- Which formula does entry 5 have?
  Tb2CeBr6

Repeat the second record exactly.
Computed, not measured: a geometry-optimized SrCeTl2Br8 structure at the PBE-GGA level of DFT.

Computed properties:
ΔE_f (raw) = -17.53 eV/f.u.
Total energy = -3.6055 eV per atom
Total moment = 0.1 Bohr magnetons per cell

Cell lengths 7.2650, 9.1698, 7.5184 Å; angles 90.00, 92.32, 90.00 degrees
Closest atoms and distances in Å follow each position.
Element x y z (fractional)
Sr: 0.0000 0.0000 0.0000  6 Br 3.01-3.16
Ce: 0.0000 0.5000 0.0000  6 Br 2.75-2.84
Tl: 0.5000 0.2458 0.5000  6 Br 3.14-3.50
Tl: 0.5000 0.7542 0.5000  6 Br 3.14-3.50
Br: 0.2017 0.5000 0.3179  1 Ce 2.75
Br: 0.2242 0.2726 0.8705  1 Ce 2.84, 1 Sr 3.16
Br: 0.2242 0.7274 0.8705  1 Ce 2.84, 1 Sr 3.16
Br: 0.2485 0.0000 0.3295  1 Sr 3.01, 2 Tl 3.14
Br: 0.7515 0.0000 0.6705  1 Sr 3.01, 2 Tl 3.14
Br: 0.7758 0.2726 0.1295  1 Ce 2.84, 1 Sr 3.16
Br: 0.7758 0.7274 0.1295  1 Ce 2.84, 1 Sr 3.16
Br: 0.7983 0.5000 0.6821  1 Ce 2.75